(1)
{
  "formula": "PrPa2SiC4",
  "functional": "GGA-PBE",
  "state": "optimized geometry",
  "final_energy_ev_per_atom": -8.532,
  "magmom_total_mub_per_fu": 0.00,
  "sg": "Cmcm, No. 63",
  "formation_energy_uncorrected_mev_per_atom": -271,
  "lattice": [[-0.4452, -0.5937, 3.5199], [2.9087, -4.9829, -2.3108], [10.4061, 5.0675, 2.1709]],
  "species": ["Si", "C", "Pr", "Si", "C", "C", "C", "Pa", "Pa", "C", "Pa", "Pr", "Pa", "C", "C", "C"],
  "fractional_positions": [[0.1693, 0.3385, 0.2500], [0.4158, 0.8316, 0.7500], [0.0992, 0.1984, 0.7500], [0.8307, 0.6615, 0.7500], [0.0000, 0.0000, 0.5000], [0.7369, 0.4738, 0.6217], [0.5842, 0.1684, 0.2500], [0.6306, 0.2611, 0.0505], [0.6306, 0.2611, 0.4495], [0.0000, 0.0000, 0.0000], [0.3694, 0.7389, 0.9495], [0.9008, 0.8016, 0.2500], [0.3694, 0.7389, 0.5505], [0.2631, 0.5262, 0.3783], [0.2631, 0.5262, 0.1217], [0.7369, 0.4738, 0.8783]]
}

(2)
{
  "formula": "MgTiIrPt",
  "functional": "GGA-PBE",
  "state": "optimized geometry",
  "formation_energy_ev_per_atom": -0.8116,
  "final_energy_ev_per_atom": -6.909,
  "magmom_total_mub_per_fu": 0.00,
  "sg": "I-4m2, No. 119",
  "lattice": [[4.1941, 0.0000, 0.0000], [0.0000, 4.1941, 0.0001], [-2.0971, -2.0970, 3.4841]],
  "species": ["Pt", "Ir", "Mg", "Ti"],
  "fractional_positions": [[0.5000, 0.5000, 0.0000], [0.0000, 0.0000, 0.0000], [0.2500, 0.7500, 0.5000], [0.7500, 0.2500, 0.5000]]
}

What did the first record say?
{
  "formula": "PrPa2SiC4",
  "functional": "GGA-PBE",
  "state": "optimized geometry",
  "final_energy_ev_per_atom": -8.532,
  "magmom_total_mub_per_fu": 0.00,
  "sg": "Cmcm, No. 63",
  "formation_energy_uncorrected_mev_per_atom": -271,
  "lattice": [[-0.4452, -0.5937, 3.5199], [2.9087, -4.9829, -2.3108], [10.4061, 5.0675, 2.1709]],
  "species": ["Si", "C", "Pr", "Si", "C", "C", "C", "Pa", "Pa", "C", "Pa", "Pr", "Pa", "C", "C", "C"],
  "fractional_positions": [[0.1693, 0.3385, 0.2500], [0.4158, 0.8316, 0.7500], [0.0992, 0.1984, 0.7500], [0.8307, 0.6615, 0.7500], [0.0000, 0.0000, 0.5000], [0.7369, 0.4738, 0.6217], [0.5842, 0.1684, 0.2500], [0.6306, 0.2611, 0.0505], [0.6306, 0.2611, 0.4495], [0.0000, 0.0000, 0.0000], [0.3694, 0.7389, 0.9495], [0.9008, 0.8016, 0.2500], [0.3694, 0.7389, 0.5505], [0.2631, 0.5262, 0.3783], [0.2631, 0.5262, 0.1217], [0.7369, 0.4738, 0.8783]]
}